(1)
VASP calculation (SCAN) on MnCrN2 at its PBEsol-relaxed geometry.

Calculated values
- Fermi-level density of states (states/eV/atom) = 0.49
- formation energy (no corrections) (eV/atom) = -0.6027

Unit cell a=4.2790 b=4.2790 c=8.5832 alpha=90.00 beta=90.00 gamma=90.00
Sites, in units of the cell vectors:
Mn 0.0000 0.0000 0.0000
Mn 0.0000 0.5000 0.2500
Mn 0.5000 0.0000 0.7500
Mn 0.5000 0.5000 0.5000
Cr 0.0000 0.0000 0.5000
Cr 0.0000 0.5000 0.7500
Cr 0.5000 0.0000 0.2500
Cr 0.5000 0.5000 0.0000
N 0.2483 0.7500 0.1250
N 0.2500 0.2483 0.8750
N 0.2500 0.2517 0.3750
N 0.2517 0.7500 0.6250
N 0.7483 0.2500 0.6250
N 0.7500 0.7483 0.3750
N 0.7500 0.7517 0.8750
N 0.7517 0.2500 0.1250



(2)
VASP calculation (SCAN) on MnCrSe2N at its PBEsol-relaxed geometry.

Calculated values
- Fermi-level density of states (states/eV/atom) = 0.18
- formation energy (no corrections) (eV/atom) = -0.1226

Unit cell a=4.8901 b=4.8901 c=3.4803 alpha=90.00 beta=90.00 gamma=90.00
Sites, in units of the cell vectors:
Mn 0.0000 0.0000 0.0000
Cr 0.5000 0.5000 0.5000
Se 0.0000 0.5000 0.5000
Se 0.5000 0.0000 0.5000
N 0.5000 0.5000 0.0000



(3)
VASP calculation (SCAN) on MnNb2Cr at its PBEsol-relaxed geometry.

Calculated values
- Fermi-level density of states (states/eV/atom) = 0.51

Unit cell a=6.1033 b=6.1033 c=6.1033 alpha=90.00 beta=90.00 gamma=90.00
Sites, in units of the cell vectors:
Mn 0.0000 0.0000 0.0000
Mn 0.0000 0.5000 0.5000
Mn 0.5000 0.0000 0.5000
Mn 0.5000 0.5000 0.0000
Nb 0.2500 0.2500 0.2500
Nb 0.2500 0.2500 0.7500
Nb 0.2500 0.7500 0.2500
Nb 0.2500 0.7500 0.7500
Nb 0.7500 0.2500 0.2500
Nb 0.7500 0.2500 0.7500
Nb 0.7500 0.7500 0.2500
Nb 0.7500 0.7500 0.7500
Cr 0.0000 0.0000 0.5000
Cr 0.0000 0.5000 0.0000
Cr 0.5000 0.0000 0.0000
Cr 0.5000 0.5000 0.5000



(4)
VASP calculation (SCAN) on MnNbCrS2 at its PBEsol-relaxed geometry.

Calculated values
- Fermi-level density of states (states/eV/atom) = 0.63
- formation energy (no corrections) (eV/atom) = 0.3408

Unit cell a=4.6930 b=4.6930 c=4.9222 alpha=90.00 beta=90.00 gamma=90.00
Sites, in units of the cell vectors:
Mn 0.0000 0.0000 0.0000
Nb 0.5000 0.5000 0.5000
Cr 0.5000 0.5000 0.0000
S 0.0000 0.5000 0.5000
S 0.5000 0.0000 0.5000



(5)
VASP calculation (SCAN) on Nd2MnCrO6 at its PBEsol-relaxed geometry.

Calculated values
- formation energy (no corrections) (eV/atom) = -3.1189

Unit cell a=5.4270 b=5.6195 c=9.2570 alpha=90.00 beta=125.55 gamma=90.00
Sites, in units of the cell vectors:
Nd 0.2367 0.0569 0.2498
Nd 0.2367 0.4431 0.7498
Nd 0.7633 0.5569 0.2502
Nd 0.7633 0.9431 0.7502
Mn 0.5000 0.0000 0.0000
Mn 0.5000 0.5000 0.5000
Cr 0.0000 0.0000 0.5000
Cr 0.0000 0.5000 0.0000
O 0.1592 0.2091 0.9560
O 0.1592 0.2909 0.4560
O 0.2458 0.7024 0.9550
O 0.2458 0.7976 0.4550
O 0.3394 0.0223 0.7535
O 0.3394 0.4777 0.2535
O 0.6606 0.5223 0.7465
O 0.6606 0.9777 0.2465
O 0.7542 0.2024 0.5450
O 0.7542 0.2976 0.0450
O 0.8408 0.7091 0.5440
O 0.8408 0.7909 0.0440



(6)
VASP calculation (SCAN) on MnCrNi2 at its PBEsol-relaxed geometry.

Calculated values
- Fermi-level density of states (states/eV/atom) = 0.65

Unit cell a=2.4421 b=3.6160 c=4.8491 alpha=90.00 beta=90.00 gamma=90.00
Sites, in units of the cell vectors:
Mn 0.0000 0.0000 0.0000
Cr 0.0000 0.0000 0.5000
Ni 0.5000 0.5000 0.2526
Ni 0.5000 0.5000 0.7474



(7)
VASP calculation (SCAN) on MnCrNi6 at its PBEsol-relaxed geometry.

Calculated values
- Fermi-level density of states (states/eV/atom) = 0.80

Unit cell a=6.0475 b=6.0475 c=9.8815 alpha=90.00 beta=90.00 gamma=109.50
Sites, in units of the cell vectors:
Mn 0.0000 0.0000 0.2492
Mn 0.0000 0.0000 0.7508
Mn 0.2490 0.7510 0.0000
Mn 0.7510 0.2490 0.0000
Cr 0.2502 0.7498 0.5000
Cr 0.5000 0.5000 0.2480
Cr 0.5000 0.5000 0.7520
Cr 0.7498 0.2502 0.5000
Ni 0.0000 0.0000 0.0000
Ni 0.0000 0.0000 0.5000
Ni 0.1262 0.3773 0.3763
Ni 0.1262 0.3773 0.6237
Ni 0.1273 0.3765 0.1263
Ni 0.1273 0.3765 0.8737
Ni 0.2514 0.7486 0.2529
Ni 0.2514 0.7486 0.7471
Ni 0.3765 0.1273 0.1263
Ni 0.3765 0.1273 0.8737
Ni 0.3773 0.1262 0.3763
Ni 0.3773 0.1262 0.6237
Ni 0.5000 0.5000 0.0000
Ni 0.5000 0.5000 0.5000
Ni 0.6227 0.8738 0.3763
Ni 0.6227 0.8738 0.6237
Ni 0.6235 0.8727 0.1263
Ni 0.6235 0.8727 0.8737
Ni 0.7486 0.2514 0.2529
Ni 0.7486 0.2514 0.7471
Ni 0.8727 0.6235 0.1263
Ni 0.8727 0.6235 0.8737
Ni 0.8738 0.6227 0.3763
Ni 0.8738 0.6227 0.6237



(8)
VASP calculation (SCAN) on MnCr2Ni3P6O24 at its PBEsol-relaxed geometry.

Calculated values
- Fermi-level density of states (states/eV/atom) = 0.33
- formation energy (no corrections) (eV/atom) = -2.1270

Unit cell a=8.1471 b=8.1471 c=8.1471 alpha=62.30 beta=62.30 gamma=62.30
Sites, in units of the cell vectors:
Mn 0.0000 0.0000 0.0000
Cr 0.1422 0.1422 0.1422
Cr 0.6423 0.6423 0.6423
Ni 0.2818 0.2818 0.2818
Ni 0.5014 0.5014 0.5014
Ni 0.7812 0.7812 0.7812
P 0.0983 0.6837 0.3916
P 0.1831 0.5988 0.8905
P 0.3916 0.0983 0.6837
P 0.5988 0.8905 0.1831
P 0.6837 0.3916 0.0983
P 0.8905 0.1831 0.5988
O 0.0290 0.6313 0.8163
O 0.0497 0.1983 0.3905
O 0.0752 0.8971 0.2312
O 0.1282 0.5272 0.3217
O 0.1364 0.7596 0.9685
O 0.1983 0.3905 0.0497
O 0.2312 0.0752 0.8971
O 0.2542 0.6601 0.4570
O 0.3217 0.1282 0.5272
O 0.3905 0.0497 0.1983
O 0.3926 0.5869 0.7404
O 0.4570 0.2542 0.6601
O 0.5272 0.3217 0.1282
O 0.5463 0.8863 0.7043
O 0.5869 0.7404 0.3926
O 0.6313 0.8163 0.0290
O 0.6601 0.4570 0.2542
O 0.7043 0.5463 0.8863
O 0.7404 0.3926 0.5869
O 0.7596 0.9685 0.1364
O 0.8163 0.0290 0.6313
O 0.8863 0.7043 0.5463
O 0.8971 0.2312 0.0752
O 0.9685 0.1364 0.7596



Number 1: energy -14.41 eV/atom, magnetic moment 4.13 μB/f.u.. Number 2: energy -17.34 eV/atom, magnetic moment 6.01 μB/f.u.. Number 3: energy -25.76 eV/atom, magnetic moment 0.60 μB/f.u.. Number 4: energy -17.46 eV/atom, magnetic moment 9.35 μB/f.u.. Number 5: energy -19.24 eV/atom, magnetic moment 7.00 μB/f.u.. Number 6: energy -17.32 eV/atom, magnetic moment 2.13 μB/f.u.. Number 7: energy -16.85 eV/atom, magnetic moment 8.90 μB/f.u.. Number 8: energy -10.89 eV/atom, magnetic moment 13.52 μB/f.u..